Compound: RbHoFeCl6
Source: Alexandria via LeMat-Bulk
Functional: PBE-GGA
Structure: optimized geometry

It has space group C2 (No. 5), with a = 6.704 Å, b = 11.616 Å, c = 7.381 Å, α = 90.00°, β = 90.09° and γ = 90.00°. The distinct sites, in fractional coordinates, are Rb at (0.000, 0.000, 0.000), Ho at (0.000, 0.334, 0.500), Fe at (0.000, 0.667, 0.500), Cl at (0.123, 0.508, 0.701), Cl at (0.176, 0.809, 0.699) and Cl at (0.198, 0.183, 0.698).

The calculation puts the density of states at the Fermi level at 13.338 states/eV per cell. As for the calculated total energy: -80.76 eV for the cell shown. For the uncorrected formation energy, the calculation gives -1699 meV per atom. For the calculated volume, the calculation gives 31.93 Å³ per atom.